[1]
A geometry-optimized CuSiAsSe2 structure. Source: Alexandria via LeMat-Bulk, functional GGA-PBE.

Cell lengths 4.9299, 4.9299, 4.3834 Å; angles 90.00, 90.00, 90.00 degrees
With the nearest neighbours (Å) after each atom.
Sites, in units of the cell vectors:
Cu 0.0000 0.0000 0.0000  2 Si 2.19
Si 0.0000 0.0000 0.5000  2 Cu 2.19
As 0.5000 0.5000 0.0000  8 Se 3.30, 4 Cu 3.49
Se 0.0000 0.5000 0.5000  2 Si 2.46
Se 0.5000 0.0000 0.5000  2 Si 2.46

Calculated values
- V: 107 Å³/f.u.
- Formation energy without anion corrections: 0.593 eV per atom
- Energy: -18.172 eV/cell

[2]
A geometry-optimized Zr2TaAs structure. Source: Alexandria via LeMat-Bulk, functional GGA-PBE.

Cell lengths 3.4240, 3.4240, 24.6645 Å; angles 90.00, 90.00, 120.00 degrees
With the nearest neighbours (Å) after each atom.
Sites, in units of the cell vectors:
Zr 0.0000 0.0000 0.2412  3 As 2.70, 3 Ta 3.01
Zr 0.0000 0.0000 0.7588  3 As 2.70, 3 Ta 3.01
Zr 0.3333 0.6667 0.4255  3 As 2.70, 3 Ta 3.01
Zr 0.3333 0.6667 0.9079  3 As 2.70, 3 Ta 3.01
Zr 0.6667 0.3333 0.0921  3 As 2.70, 3 Ta 3.01
Zr 0.6667 0.3333 0.5745  3 As 2.70, 3 Ta 3.01
Ta 0.0000 0.0000 0.0000  6 Zr 3.01
Ta 0.3333 0.6667 0.6667  6 Zr 3.01
Ta 0.6667 0.3333 0.3333  6 Zr 3.01
As 0.0000 0.0000 0.5000  6 Zr 2.70
As 0.3333 0.6667 0.1667  6 Zr 2.70
As 0.6667 0.3333 0.8333  6 Zr 2.70

Calculated values
- DFT formation energy: -0.260 eV/atom
- V: 83 Å³/f.u.
- Energy: -103.920 eV/cell

[3]
A geometry-optimized Rb8Au4O structure. Source: Alexandria via LeMat-Bulk, functional GGA-PBE.

Cell lengths 9.4440, 9.4440, 9.4440 Å; angles 101.50, 101.50, 126.97 degrees
With the nearest neighbours (Å) after each atom.
Sites, in units of the cell vectors:
Rb 0.0000 0.2163 0.2163  1 O 2.58
Rb 0.0000 0.7837 0.7837  1 O 2.58
Rb 0.2163 0.0000 0.2163  1 O 2.58
Rb 0.2304 0.5000 0.7304  4 Au 3.66
Rb 0.5000 0.2304 0.7304  4 Au 3.66
Rb 0.5000 0.7696 0.2696  4 Au 3.66
Rb 0.7696 0.5000 0.2696  4 Au 3.66
Rb 0.7837 0.0000 0.7837  1 O 2.58
Au 0.0000 0.0000 0.5000  8 Rb 3.66-3.68
Au 0.0000 0.5000 0.0000  8 Rb 3.66-3.68
Au 0.5000 0.0000 0.0000  8 Rb 3.66-3.68
Au 0.5000 0.5000 0.5000  8 Rb 3.66-3.68
O 0.0000 0.0000 0.0000  4 Rb 2.58

Calculated values
- V: 602 Å³/f.u.
- Formation energy without anion corrections: -0.344 eV per atom
- Energy: -30.285 eV/cell

[4]
A geometry-optimized CePmSc2 structure. Source: Alexandria via LeMat-Bulk, functional GGA-PBE.

Cell lengths 5.5127, 5.5127, 3.7270 Å; angles 90.00, 90.00, 90.00 degrees
With the nearest neighbours (Å) after each atom.
Sites, in units of the cell vectors:
Ce 0.0000 0.0000 0.0000  8 Sc 3.33
Pm 0.5000 0.5000 0.0000  8 Sc 3.33
Sc 0.0000 0.5000 0.5000  4 Pm 3.33, 4 Ce 3.33
Sc 0.5000 0.0000 0.5000  4 Pm 3.33, 4 Ce 3.33

Calculated values
- DFT formation energy: 0.107 eV/atom
- V: 113 Å³/f.u.
- Energy: -22.919 eV/cell

[5]
A geometry-optimized TiBiOsAu2 structure. Source: Alexandria via LeMat-Bulk, functional GGA-PBE.

Cell lengths 5.1385, 5.1385, 4.5465 Å; angles 90.00, 90.00, 90.00 degrees
With the nearest neighbours (Å) after each atom.
Sites, in units of the cell vectors:
Ti 0.0000 0.0000 0.0000  2 Os 2.27
Bi 0.5000 0.5000 0.0000  8 Au 3.43, 4 Ti 3.63
Os 0.0000 0.0000 0.5000  2 Ti 2.27
Au 0.0000 0.5000 0.5000  2 Os 2.57
Au 0.5000 0.0000 0.5000  2 Os 2.57

Calculated values
- DFT formation energy: 0.664 eV/atom
- V: 120 Å³/f.u.
- Energy: -26.240 eV/cell

[6]
A geometry-optimized NdGdHoSc structure. Source: Alexandria via LeMat-Bulk, functional GGA-PBE.

Cell lengths 7.8944, 7.8944, 7.8944 Å; angles 90.00, 90.00, 90.00 degrees
With the nearest neighbours (Å) after each atom.
Sites, in units of the cell vectors:
Nd 0.0000 0.0000 0.0000  4 Ho 3.42, 4 Sc 3.42
Nd 0.0000 0.5000 0.5000  4 Ho 3.42, 4 Sc 3.42
Nd 0.5000 0.0000 0.5000  4 Ho 3.42, 4 Sc 3.42
Nd 0.5000 0.5000 0.0000  4 Ho 3.42, 4 Sc 3.42
Gd 0.0000 0.0000 0.5000  4 Sc 3.42, 4 Ho 3.42
Gd 0.0000 0.5000 0.0000  4 Sc 3.42, 4 Ho 3.42
Gd 0.5000 0.0000 0.0000  4 Sc 3.42, 4 Ho 3.42
Gd 0.5000 0.5000 0.5000  4 Sc 3.42, 4 Ho 3.42
Ho 0.2500 0.2500 0.7500  4 Gd 3.42, 4 Nd 3.42
Ho 0.2500 0.7500 0.2500  4 Gd 3.42, 4 Nd 3.42
Ho 0.7500 0.2500 0.2500  4 Gd 3.42, 4 Nd 3.42
Ho 0.7500 0.7500 0.7500  4 Gd 3.42, 4 Nd 3.42
Sc 0.2500 0.2500 0.2500  4 Nd 3.42, 4 Gd 3.42
Sc 0.2500 0.7500 0.7500  4 Nd 3.42, 4 Gd 3.42
Sc 0.7500 0.2500 0.7500  4 Nd 3.42, 4 Gd 3.42
Sc 0.7500 0.7500 0.2500  4 Nd 3.42, 4 Gd 3.42

Calculated values
- DFT formation energy: 0.099 eV/atom
- V: 123 Å³/f.u.
- Energy: -117.448 eV/cell

Across the entries above, D(E_F) takes the values 3.7, 12.2, 5.4, 7.6, 4.8, 26.5 states/eV per cell, respectively.